Record 1
## Sr3Al2Ga3 (PBE)

Data for crystalline Sr3Al2Ga3 at its relaxed geometry.

Cell lengths 4.6748, 6.1820, 15.6317 Å; angles 90.00, 90.00, 112.22 degrees
Closest atoms and distances in Å follow each position.
Fractional positions:
Ga 0.3233 0.6467 0.2500  2 Al 2.77
Sr 0.0862 0.1725 0.8901  7 Ga 3.26-3.59, 4 Al 3.31-3.48
Al 0.7895 0.5789 0.9065  4 Ga 2.73-2.79
Ga 0.3819 0.7639 0.5334  3 Al 2.73-2.79, 1 Ga 2.90
Ga 0.6181 0.2361 0.0334  3 Al 2.73-2.79, 1 Ga 2.90
Al 0.7895 0.5789 0.5935  4 Ga 2.73-2.79
Sr 0.6239 0.2478 0.2500  5 Ga 3.27-3.44, 4 Al 3.53
Sr 0.9138 0.8275 0.3901  7 Ga 3.26-3.59, 4 Al 3.31-3.48
Al 0.2105 0.4211 0.4065  4 Ga 2.73-2.79
Ga 0.6767 0.3533 0.7500  2 Al 2.77
Sr 0.0862 0.1725 0.6099  7 Ga 3.26-3.59, 4 Al 3.31-3.48
Ga 0.3819 0.7639 0.9666  3 Al 2.73-2.79, 1 Ga 2.90
Sr 0.3761 0.7522 0.7500  5 Ga 3.27-3.44, 4 Al 3.53
Ga 0.6181 0.2361 0.4666  3 Al 2.73-2.79, 1 Ga 2.90
Al 0.2105 0.4211 0.0935  4 Ga 2.73-2.79
Sr 0.9138 0.8275 0.1099  7 Ga 3.26-3.59, 4 Al 3.31-3.48

Output
As for the space-group type: Cmcm (63). The crystal system is orthorhombic. The value obtained for the total moment is 0.0 μB per formula unit. Its raw total energy is -3.1065 eV/atom. The value obtained for the formation energy is -0.405 eV/atom.

Record 2
## Sr2Al5Ga2 (PBE)

Data for crystalline Sr2Al5Ga2 at its relaxed geometry.

Cell lengths 4.3609, 4.3609, 10.4205 Å; angles 90.00, 90.00, 90.00 degrees
Closest atoms and distances in Å follow each position.
Fractional positions:
Sr 0.0000 0.0000 0.0000  8 Ga 3.33, 8 Al 3.58
Al 0.5000 0.0000 0.7270  2 Ga 2.69
Sr 0.0000 0.0000 0.5000  12 Al 3.08-3.22
Al 0.5000 0.0000 0.2730  2 Ga 2.69
Ga 0.5000 0.5000 0.8789  1 Ga 2.52, 4 Al 2.69
Al 0.0000 0.5000 0.2730  2 Ga 2.69
Ga 0.5000 0.5000 0.1211  1 Ga 2.52, 4 Al 2.69
Al 0.0000 0.5000 0.7270  2 Ga 2.69
Al 0.5000 0.5000 0.5000  4 Sr 3.08, 8 Al 3.22

Output
As for the space-group type: P4/mmm (123). The crystal system is tetragonal. The value obtained for the total moment is 0.0 μB per formula unit. Its raw total energy is -3.2944 eV/atom. The value obtained for the formation energy is -0.169 eV/atom.

Record 3
## SrAlGa (PBE)

Data for crystalline SrAlGa at its relaxed geometry.

Cell lengths 4.4029, 4.4029, 7.8386 Å; angles 90.00, 90.00, 90.00 degrees
Closest atoms and distances in Å follow each position.
Fractional positions:
Ga 0.5000 0.0000 0.2083  4 Al 2.74
Sr 0.5000 0.0000 0.6729  4 Ga 3.25, 4 Al 3.38
Al 0.5000 0.5000 0.0000  4 Ga 2.74
Al 0.0000 0.0000 0.0000  4 Ga 2.74
Ga 0.0000 0.5000 0.7917  4 Al 2.74
Sr 0.0000 0.5000 0.3271  4 Ga 3.25, 4 Al 3.38

Output
As for the space-group type: P4/nmm (129). The crystal system is tetragonal. The value obtained for the total moment is 0.0 μB per formula unit. Its raw total energy is -3.2172 eV/atom. The value obtained for the formation energy is -0.400 eV/atom.

Record 4
## SrAl4Ga3 (PBE)

Data for crystalline SrAl4Ga3 at its relaxed geometry.

Cell lengths 4.5153, 4.5153, 8.1071 Å; angles 90.00, 90.00, 90.00 degrees
Closest atoms and distances in Å follow each position.
Fractional positions:
Ga 0.5000 0.5000 0.6580  1 Ga 2.56, 4 Al 2.64
Ga 0.5000 0.5000 0.3420  1 Ga 2.56, 4 Al 2.64
Al 0.5000 0.0000 0.1728  4 Ga 2.64-2.66, 1 Al 2.80
Al 0.0000 0.5000 0.1728  4 Ga 2.64-2.66, 1 Al 2.80
Sr 0.0000 0.0000 0.5000  8 Ga 3.44, 8 Al 3.48
Al 0.5000 0.0000 0.8272  4 Ga 2.64-2.66, 1 Al 2.80
Ga 0.0000 0.0000 0.0000  8 Al 2.66
Al 0.0000 0.5000 0.8272  4 Ga 2.64-2.66, 1 Al 2.80

Output
As for the space-group type: P4/mmm (123). The crystal system is tetragonal. The value obtained for the total moment is 0.0 μB per formula unit. Its raw total energy is -3.4091 eV/atom. The value obtained for the formation energy is -0.193 eV/atom.

Record 5
## Sr2Al3Ga4 (PBE)

Data for crystalline Sr2Al3Ga4 at its relaxed geometry.

Cell lengths 6.0852, 8.0751, 8.5892 Å; angles 90.00, 110.75, 90.00 degrees
Closest atoms and distances in Å follow each position.
Fractional positions:
Al 0.5264 0.7500 0.5527  5 Ga 2.60-2.83
Al 0.9736 0.2500 0.4473  5 Ga 2.60-2.83
Sr 0.6081 0.9030 0.2161  8 Ga 3.27-3.51, 4 Al 3.34-3.59
Al 0.0264 0.7500 0.5527  5 Ga 2.60-2.83
Ga 0.3116 0.2500 0.1233  3 Al 2.60-2.71
Ga 0.6820 0.5218 0.3639  5 Al 2.75-2.93
Al 0.0000 0.0000 0.0000  6 Ga 2.71-2.93
Ga 0.1884 0.7500 0.8767  3 Al 2.60-2.71
Ga 0.1820 0.9782 0.3639  5 Al 2.75-2.93
Ga 0.8180 0.0218 0.6361  5 Al 2.75-2.93
Al 0.5000 0.5000 0.0000  6 Ga 2.71-2.93
Al 0.4736 0.2500 0.4473  5 Ga 2.60-2.83
Ga 0.8116 0.2500 0.1233  3 Al 2.60-2.71
Ga 0.6884 0.7500 0.8767  3 Al 2.60-2.71
Sr 0.3919 0.0970 0.7839  8 Ga 3.27-3.51, 4 Al 3.34-3.59
Ga 0.3180 0.4782 0.6361  5 Al 2.75-2.93
Sr 0.8919 0.4030 0.7839  8 Ga 3.27-3.51, 4 Al 3.34-3.59
Sr 0.1081 0.5970 0.2161  8 Ga 3.27-3.51, 4 Al 3.34-3.59

Output
As for the space-group type: Cmce (64). The crystal system is orthorhombic. The value obtained for the total moment is 0.0 μB per formula unit. Its raw total energy is -3.2581 eV/atom. The value obtained for the formation energy is -0.292 eV/atom.

Record 6
## Sr2AlGa2 (PBE)

Data for crystalline Sr2AlGa2 at its relaxed geometry.

Cell lengths 7.3149, 7.3149, 5.0613 Å; angles 90.00, 90.00, 90.00 degrees
Closest atoms and distances in Å follow each position.
Fractional positions:
Ga 0.8732 0.6268 0.0000  1 Ga 2.62, 2 Al 2.88
Sr 0.8187 0.3187 0.5000  6 Ga 3.22-3.41
Sr 0.3187 0.1813 0.5000  6 Ga 3.22-3.41
Sr 0.1813 0.6813 0.5000  6 Ga 3.22-3.41
Ga 0.3732 0.8732 0.0000  1 Ga 2.62, 2 Al 2.88
Sr 0.6813 0.8187 0.5000  6 Ga 3.22-3.41
Al 0.5000 0.5000 0.0000  4 Ga 2.88
Ga 0.1268 0.3732 0.0000  1 Ga 2.62, 2 Al 2.88
Al 0.0000 0.0000 0.0000  4 Ga 2.88
Ga 0.6268 0.1268 0.0000  1 Ga 2.62, 2 Al 2.88

Output
As for the space-group type: P4/mbm (127). The crystal system is tetragonal. The value obtained for the total moment is 0.0 μB per formula unit. Its raw total energy is -2.9154 eV/atom. The value obtained for the formation energy is -0.283 eV/atom.

Record 7
## SrAlGa2 (PBE)

Data for crystalline SrAlGa2 at its relaxed geometry.

Cell lengths 5.1212, 5.1212, 9.3623 Å; angles 74.13, 74.13, 90.00 degrees
Closest atoms and distances in Å follow each position.
Fractional positions:
Ga 0.3756 0.6250 0.2500  2 Al 2.51, 2 Ga 2.56
Al 0.5000 0.5000 0.0000  4 Ga 2.51
Ga 0.3750 0.6256 0.7500  2 Al 2.51, 2 Ga 2.56
Sr 0.7500 0.2500 0.5000  8 Ga 3.58-3.59, 4 Al 3.62
Ga 0.3744 0.1250 0.2500  2 Al 2.51, 2 Ga 2.56
Sr 0.0000 0.0000 0.0000  8 Ga 3.58-3.59, 4 Al 3.62
Al 0.2500 0.7500 0.5000  4 Ga 2.51
Ga 0.8750 0.6244 0.7500  2 Al 2.51, 2 Ga 2.56

Output
As for the space-group type: I4_1/amd (141). The crystal system is tetragonal. The value obtained for the total moment is 0.0 μB per formula unit. Its raw total energy is -3.0119 eV/atom. The value obtained for the formation energy is -0.142 eV/atom.

Record 8
## Sr8AlGa2 (PBE)

Data for crystalline Sr8AlGa2 at its relaxed geometry.

Cell lengths 5.5284, 9.1746, 9.8953 Å; angles 117.62, 106.22, 90.00 degrees
Closest atoms and distances in Å follow each position.
Fractional positions:
Sr 0.0000 0.6870 0.0000  3 Sr 3.43-3.68, 2 Ga 3.52
Al 0.5000 0.0000 0.0000  12 Sr 3.60-3.99
Ga 0.1848 0.6849 0.3696  8 Sr 3.42-3.64
Sr 0.6624 0.8791 0.3248  3 Ga 3.42-3.64, 1 Al 3.75, 2 Sr 3.81
Sr 0.1386 0.1385 0.2772  2 Al 3.60, 8 Sr 3.68-3.86
Sr 0.6624 0.4457 0.3248  3 Ga 3.43-3.64, 1 Al 3.75, 2 Sr 3.81
Sr 0.3376 0.1209 0.6752  3 Ga 3.42-3.64, 1 Al 3.75, 2 Sr 3.81
Ga 0.8152 0.3151 0.6304  8 Sr 3.42-3.64
Sr 0.3376 0.5543 0.6752  3 Ga 3.43-3.64, 1 Al 3.75, 2 Sr 3.81
Sr 0.0000 0.3130 0.0000  3 Sr 3.43-3.68, 2 Ga 3.52
Sr 0.8614 0.8615 0.7228  2 Al 3.60, 8 Sr 3.68-3.86

Output
As for the space-group type: Immm (71). The crystal system is orthorhombic. The value obtained for the total moment is 0.0 μB per formula unit. Its raw total energy is -2.2046 eV/atom. The value obtained for the formation energy is -0.091 eV/atom.